VASP calculation (PBE-GGA) on Y3Mg3CdGaCu after structural relaxation.

Calculated values
- Calculated volume: 207 Å³/cell
- Total magnetic moment: 0.006 Bohr magnetons per cell
- Energy: -0.28418 Ry per atom
- Space-group type: P-6 (174)

a = 7.4499 Å, b = 7.4499 Å, c = 4.3152 Å
α = 90.00°, β = 90.00°, γ = 120.00°
Closest atoms and distances in Å follow each position.
Atoms (fractional coordinates):
1 Y 0.2515 0.3180 0.5000  1 Cu 3.04, 2 Ga 3.06, 2 Cd 3.19, 2 Mg 3.36
2 Y 0.6820 0.9335 0.5000  1 Cu 3.04, 2 Ga 3.06, 2 Cd 3.19, 2 Mg 3.36
3 Y 0.0665 0.7485 0.5000  1 Cu 3.04, 2 Ga 3.06, 2 Cd 3.19, 2 Mg 3.36
4 Mg 0.6675 0.5722 0.0000  2 Cu 2.79, 1 Ga 2.90, 1 Cd 2.91, 2 Mg 3.08
5 Mg 0.4278 0.0953 0.0000  2 Cu 2.79, 1 Ga 2.90, 1 Cd 2.91, 2 Mg 3.08
6 Mg 0.9047 0.3325 0.0000  2 Cu 2.79, 1 Ga 2.90, 1 Cd 2.91, 2 Mg 3.08
7 Cu 0.6667 0.3333 0.5000  6 Mg 2.79, 3 Y 3.04
8 Ga 0.0000 0.0000 0.0000  3 Mg 2.90, 6 Y 3.06
9 Cd 0.3333 0.6667 0.0000  3 Mg 2.91, 6 Y 3.19

***

VASP calculation (PBE-GGA) on CdGaCuMo after structural relaxation.

Calculated values
- Calculated volume: 64 Å³/cell
- E above lowest polymorph: 0 meV/atom
- Total magnetic moment: 1.476 Bohr magnetons per cell
- Space-group type: F-43m (216)

a = 4.4933 Å, b = 4.4933 Å, c = 4.4933 Å
α = 60.00°, β = 60.00°, γ = 60.00°
Closest atoms and distances in Å follow each position.
Atoms (fractional coordinates):
1 Mo 0.2500 0.2500 0.2500  4 Ga 2.75, 4 Cd 2.75
2 Ga 0.0000 0.0000 0.0000  4 Mo 2.75, 4 Cu 2.75
3 Cd 0.5000 0.5000 0.5000  4 Cu 2.75, 4 Mo 2.75
4 Cu 0.7500 0.7500 0.7500  4 Cd 2.75, 4 Ga 2.75

***

VASP calculation (PBE-GGA) on Na4CdGa2Cu after structural relaxation.

Calculated values
- Calculated volume: 163 Å³/cell
- Energy: -0.14413 Ry per atom
- Space-group type: P-4m2 (115)

a = 4.8421 Å, b = 4.8421 Å, c = 6.9707 Å
α = 90.00°, β = 90.00°, γ = 90.00°
Closest atoms and distances in Å follow each position.
Atoms (fractional coordinates):
1 Na 0.0000 0.0000 0.5000  4 Ga 2.91, 4 Na 2.92
2 Na 0.0000 0.5000 0.2647  4 Na 2.92-3.04, 2 Cu 2.92, 2 Cd 3.04, 1 Ga 3.26
3 Na 0.5000 0.5000 0.0000  4 Na 3.04, 4 Ga 3.06
4 Na 0.5000 0.0000 0.7353  4 Na 2.92-3.04, 2 Cu 2.92, 2 Cd 3.04, 1 Ga 3.26
5 Cd 0.0000 0.0000 0.0000  4 Na 3.04, 4 Ga 3.06
6 Ga 0.5000 0.0000 0.2679  5 Na 2.91-3.26, 2 Cu 2.91, 2 Cd 3.06
7 Ga 0.0000 0.5000 0.7321  5 Na 2.91-3.26, 2 Cu 2.91, 2 Cd 3.06
8 Cu 0.5000 0.5000 0.5000  4 Ga 2.91, 4 Na 2.92

***

VASP calculation (PBE-GGA) on PrNd2Cd3Ga2Cu after structural relaxation.

Calculated values
- Calculated volume: 214 Å³/cell
- Total magnetic moment: 0.000 Bohr magnetons per cell
- Energy: -0.25251 Ry per atom
- Space-group type: Amm2 (38)

a = 4.4245 Å, b = 7.4734 Å, c = 7.4734 Å
α = 120.00°, β = 90.00°, γ = 90.00°
Closest atoms and distances in Å follow each position.
Atoms (fractional coordinates):
1 Cd 0.5000 0.0006 0.7587  2 Cu 2.86, 2 Ga 2.88-2.90, 2 Cd 3.12-3.13
2 Cd 0.5000 0.7587 0.0006  2 Cu 2.86, 2 Ga 2.88-2.90, 2 Cd 3.12-3.13
3 Cd 0.5000 0.2410 0.2410  2 Cu 2.85, 2 Ga 2.90, 2 Cd 3.12
4 Cu 0.0000 0.0012 0.0012  6 Cd 2.85-2.86, 2 Nd 3.05, 1 Pr 3.07
5 Ga 0.5000 0.3322 0.6669  3 Cd 2.88-2.90, 4 Nd 3.16, 2 Pr 3.17
6 Ga 0.5000 0.6669 0.3322  3 Cd 2.88-2.90, 4 Nd 3.16, 2 Pr 3.17
7 Nd 0.0000 0.9998 0.4088  1 Cu 3.05, 4 Ga 3.16
8 Nd 0.0000 0.4088 0.9998  1 Cu 3.05, 4 Ga 3.16
9 Pr 0.0000 0.5909 0.5909  1 Cu 3.07, 4 Ga 3.17, 2 Cd 3.43

***

VASP calculation (PBE-GGA) on Nd2YCd3Ga2Cu after structural relaxation.

Calculated values
- Calculated volume: 207 Å³/cell
- Total magnetic moment: 0.007 Bohr magnetons per cell
- Energy: -0.26718 Ry per atom
- Space-group type: Amm2 (38)

a = 4.3515 Å, b = 7.3950 Å, c = 7.3950 Å
α = 119.72°, β = 90.00°, γ = 90.00°
Closest atoms and distances in Å follow each position.
Atoms (fractional coordinates):
1 Cd 0.5000 0.9980 0.7568  2 Cu 2.81, 2 Ga 2.85-2.90, 2 Cd 3.08-3.13
2 Cd 0.5000 0.2446 0.2446  2 Ga 2.84, 2 Cu 2.86, 2 Cd 3.13
3 Cd 0.5000 0.7568 0.9980  2 Cu 2.81, 2 Ga 2.85-2.90, 2 Cd 3.08-3.13
4 Cu 0.0000 0.9954 0.9954  6 Cd 2.81-2.86, 1 Y 3.00, 2 Nd 3.05
5 Nd 0.0000 0.0010 0.4102  1 Cu 3.05, 4 Ga 3.13-3.14, 2 Cd 3.37
6 Nd 0.0000 0.4102 0.0010  1 Cu 3.05, 4 Ga 3.13-3.14, 2 Cd 3.37
7 Ga 0.5000 0.3372 0.6656  3 Cd 2.84-2.90, 2 Y 3.10, 4 Nd 3.13-3.14
8 Ga 0.5000 0.6656 0.3372  3 Cd 2.84-2.90, 2 Y 3.10, 4 Nd 3.13-3.14
9 Y 0.0000 0.5911 0.5911  1 Cu 3.00, 4 Ga 3.10

***

VASP calculation (PBE-GGA) on CdGaCuOs after structural relaxation.

Calculated values
- Calculated volume: 61 Å³/cell
- E above lowest polymorph: 0 meV/atom
- Total magnetic moment: 0.001 Bohr magnetons per cell
- Space-group type: F-43m (216)

a = 4.4263 Å, b = 4.4263 Å, c = 4.4263 Å
α = 60.00°, β = 60.00°, γ = 60.00°
Closest atoms and distances in Å follow each position.
Atoms (fractional coordinates):
1 Os 0.2500 0.2500 0.2500  4 Cd 2.71, 4 Ga 2.71
2 Ga 0.0000 0.0000 0.0000  4 Os 2.71, 4 Cu 2.71
3 Cu 0.7500 0.7500 0.7500  4 Cd 2.71, 4 Ga 2.71
4 Cd 0.5000 0.5000 0.5000  4 Os 2.71, 4 Cu 2.71

***

VASP calculation (PBE-GGA) on CdGaCuPd after structural relaxation.

Calculated values
- Calculated volume: 63 Å³/cell
- E above lowest polymorph: 0 meV/atom
- Space-group type: F-43m (216)

a = 4.4751 Å, b = 4.4751 Å, c = 4.4751 Å
α = 60.00°, β = 60.00°, γ = 60.00°
Closest atoms and distances in Å follow each position.
Atoms (fractional coordinates):
1 Cu 0.7500 0.7500 0.7500  4 Ga 2.74, 4 Cd 2.74
2 Cd 0.5000 0.5000 0.5000  4 Pd 2.74, 4 Cu 2.74
3 Pd 0.2500 0.2500 0.2500  4 Cd 2.74, 4 Ga 2.74
4 Ga 0.0000 0.0000 0.0000  4 Cu 2.74, 4 Pd 2.74

***

VASP calculation (PBE-GGA) on CdGaCuRe after structural relaxation.

Calculated values
- Calculated volume: 62 Å³/cell
- E above lowest polymorph: 0 meV/atom
- Total magnetic moment: 0.238 Bohr magnetons per cell
- Space-group type: F-43m (216)

a = 4.4458 Å, b = 4.4458 Å, c = 4.4458 Å
α = 60.00°, β = 60.00°, γ = 60.00°
Closest atoms and distances in Å follow each position.
Atoms (fractional coordinates):
1 Cd 0.5000 0.5000 0.5000  4 Re 2.72, 4 Cu 2.72
2 Re 0.2500 0.2500 0.2500  4 Cd 2.72, 4 Ga 2.72
3 Cu 0.7500 0.7500 0.7500  4 Cd 2.72, 4 Ga 2.72
4 Ga 0.0000 0.0000 0.0000  4 Re 2.72, 4 Cu 2.72

***

VASP calculation (PBE-GGA) on Sm3Cd3Ga2Cu after structural relaxation.

Calculated values
- Calculated volume: 203 Å³/cell
- Total magnetic moment: 0.004 Bohr magnetons per cell
- Energy: -0.25178 Ry per atom
- Space-group type: P-62m (189)

a = 7.4646 Å, b = 7.4646 Å, c = 4.2118 Å
α = 90.00°, β = 90.00°, γ = 120.00°
Closest atoms and distances in Å follow each position.
Atoms (fractional coordinates):
1 Cd 0.2460 0.2460 0.5000  2 Cu 2.79, 2 Ga 2.87
2 Cd 0.0000 0.7540 0.5000  2 Cu 2.79, 2 Ga 2.87
3 Cd 0.7540 0.0000 0.5000  2 Cu 2.79, 2 Ga 2.87
4 Cu 0.0000 0.0000 0.0000  6 Cd 2.79, 3 Sm 3.05
5 Ga 0.6667 0.3333 0.5000  3 Cd 2.87, 6 Sm 3.09
6 Ga 0.3333 0.6667 0.5000  3 Cd 2.87, 6 Sm 3.09
7 Sm 0.4082 0.0000 0.0000  1 Cu 3.05, 4 Ga 3.09, 6 Cd 3.33-3.39
8 Sm 0.0000 0.4082 0.0000  1 Cu 3.05, 4 Ga 3.09, 6 Cd 3.33-3.39
9 Sm 0.5918 0.5918 0.0000  1 Cu 3.05, 4 Ga 3.09, 6 Cd 3.33-3.39

***

VASP calculation (PBE-GGA) on Sm3Cd3GaCu2 after structural relaxation.

Calculated values
- Calculated volume: 201 Å³/cell
- Total magnetic moment: 0.012 Bohr magnetons per cell
- Energy: -0.24756 Ry per atom
- Space-group type: P-62m (189)

a = 7.5572 Å, b = 7.5572 Å, c = 4.0606 Å
α = 90.00°, β = 90.00°, γ = 120.00°
Closest atoms and distances in Å follow each position.
Atoms (fractional coordinates):
1 Sm 0.5851 0.5851 0.5000  4 Cu 3.05, 1 Ga 3.14, 6 Cd 3.20-3.41
2 Sm 0.4149 0.0000 0.5000  4 Cu 3.05, 1 Ga 3.14, 6 Cd 3.20-3.41
3 Sm 0.0000 0.4149 0.5000  4 Cu 3.05, 1 Ga 3.14, 6 Cd 3.20-3.41
4 Cd 0.0000 0.7424 0.0000  2 Ga 2.81, 2 Cu 2.85
5 Cd 0.2576 0.2576 0.0000  2 Ga 2.81, 2 Cu 2.85
6 Cd 0.7424 0.0000 0.0000  2 Ga 2.81, 2 Cu 2.85
7 Cu 0.3333 0.6667 0.0000  3 Cd 2.85, 6 Sm 3.05
8 Cu 0.6667 0.3333 0.0000  3 Cd 2.85, 6 Sm 3.05
9 Ga 0.0000 0.0000 0.5000  6 Cd 2.81, 3 Sm 3.14

***

VASP calculation (PBE-GGA) on TaCdGaCu after structural relaxation.

Calculated values
- Calculated volume: 67 Å³/cell
- E above lowest polymorph: 0 meV/atom
- Total magnetic moment: 0.012 Bohr magnetons per cell
- Space-group type: F-43m (216)

a = 4.5660 Å, b = 4.5660 Å, c = 4.5660 Å
α = 60.00°, β = 60.00°, γ = 60.00°
Closest atoms and distances in Å follow each position.
Atoms (fractional coordinates):
1 Cd 0.5000 0.5000 0.5000  4 Cu 2.80, 4 Ta 2.80
2 Ga 0.0000 0.0000 0.0000  4 Cu 2.80, 4 Ta 2.80
3 Cu 0.7500 0.7500 0.7500  4 Ga 2.80, 4 Cd 2.80
4 Ta 0.2500 0.2500 0.2500  4 Cd 2.80, 4 Ga 2.80

***

VASP calculation (PBE-GGA) on TaCdGaCu after structural relaxation.

Calculated values
- Calculated volume: 68 Å³/cell
- E above lowest polymorph: 151 meV/atom
- Total magnetic moment: 0.799 Bohr magnetons per cell
- Space-group type: F-43m (216)

a = 4.5712 Å, b = 4.5712 Å, c = 4.5712 Å
α = 60.00°, β = 60.00°, γ = 60.00°
Closest atoms and distances in Å follow each position.
Atoms (fractional coordinates):
1 Ta 0.5000 0.5000 0.5000  4 Cu 2.80, 4 Cd 2.80
2 Cu 0.7500 0.7500 0.7500  4 Ta 2.80, 4 Ga 2.80
3 Cd 0.2500 0.2500 0.2500  4 Ga 2.80, 4 Ta 2.80
4 Ga 0.0000 0.0000 0.0000  4 Cd 2.80, 4 Cu 2.80

***

VASP calculation (PBE-GGA) on CdGaCuW after structural relaxation.

Calculated values
- Calculated volume: 65 Å³/cell
- E above lowest polymorph: 0 meV/atom
- Total magnetic moment: 1.520 Bohr magnetons per cell
- Space-group type: F-43m (216)

a = 4.5059 Å, b = 4.5059 Å, c = 4.5059 Å
α = 60.00°, β = 60.00°, γ = 60.00°
Closest atoms and distances in Å follow each position.
Atoms (fractional coordinates):
1 Cu 0.7500 0.7500 0.7500  4 Cd 2.76, 4 Ga 2.76
2 Cd 0.5000 0.5000 0.5000  4 W 2.76, 4 Cu 2.76
3 Ga 0.0000 0.0000 0.0000  4 W 2.76, 4 Cu 2.76
4 W 0.2500 0.2500 0.2500  4 Cd 2.76, 4 Ga 2.76

***

VASP calculation (PBE-GGA) on YCdGaCu after structural relaxation.

Calculated values
- Calculated volume: 78 Å³/cell
- Total magnetic moment: 0.000 Bohr magnetons per cell
- Energy: -0.27501 Ry per atom
- Space-group type: F-43m (216)

a = 4.7994 Å, b = 4.7994 Å, c = 4.7994 Å
α = 60.00°, β = 60.00°, γ = 60.00°
Closest atoms and distances in Å follow each position.
Atoms (fractional coordinates):
1 Cd 0.5000 0.5000 0.5000  4 Y 2.94, 4 Cu 2.94
2 Y 0.2500 0.2500 0.2500  4 Ga 2.94, 4 Cd 2.94
3 Cu 0.7500 0.7500 0.7500  4 Cd 2.94, 4 Ga 2.94
4 Ga 0.0000 0.0000 0.0000  4 Y 2.94, 4 Cu 2.94